1.
A plane-wave DFT calculation with PBE was carried out for a relaxed structure of YTl2Ge2.

```
YTl2Ge2
1.0
7.5203 0.0000 0.0000
0.0000 7.5203 0.0000
0.0000 0.0000 4.5297
Y Tl Ge
2 4 4
Cartesian
0.0000 0.0000 0.0000
3.7602 3.7602 0.0000
1.3558 2.4044 2.2648
2.4044 6.1646 2.2648
5.1159 1.3558 2.2648
6.1646 5.1159 2.2648
0.8846 4.6448 0.0000
2.8756 0.8846 0.0000
4.6448 6.6357 0.0000
6.6357 2.8756 0.0000
```

**VASP energy**: -0.1533 Ha/atom
**ΔH_f (0 K)**: -0.084 eV/atom
**Crystal system**: tetragonal
**DOS(E_F)**: 3.8 states/eV/f.u.

=====

2.
A plane-wave DFT calculation with PBE was carried out for a relaxed structure of Y2Tl2Ge.

```
Y2Tl2Ge
1.0
7.6381 0.0000 0.0000
0.0000 7.6381 0.0000
0.0000 0.0000 4.6072
Y Tl Ge
4 4 2
Cartesian
1.2809 2.5381 0.0000
2.5381 6.3572 0.0000
5.1000 1.2809 0.0000
6.3572 5.1000 0.0000
1.0601 4.8792 2.3036
2.7589 1.0601 2.3036
4.8792 6.5780 2.3036
6.5780 2.7589 2.3036
0.0000 0.0000 2.3036
3.8191 3.8191 2.3036
```

**VASP energy**: -0.1736 Ha/atom
**ΔH_f (0 K)**: -0.267 eV/atom
**Crystal system**: tetragonal
**DOS(E_F)**: 2.3 states/eV/f.u.

=====

3.
A plane-wave DFT calculation with PBE was carried out for a relaxed structure of Y2Tl2Ge.

```
Y2Tl2Ge
1.0
7.6545 0.0000 0.0000
0.0000 7.6545 0.0000
0.0000 0.0000 4.8628
Y Tl Ge
4 4 2
Cartesian
1.2588 2.5684 0.0000
2.5684 6.3957 0.0000
5.0860 1.2588 0.0000
6.3957 5.0860 0.0000
1.1268 4.9541 2.4314
2.7004 1.1268 2.4314
4.9541 6.5277 2.4314
6.5277 2.7004 2.4314
0.0000 0.0000 0.0000
3.8272 3.8272 0.0000
```

**VASP energy**: -0.1744 Ha/atom
**ΔH_f (0 K)**: -0.290 eV/atom
**Crystal system**: tetragonal
**DOS(E_F)**: 4.6 states/eV/f.u.